LiSe: relaxed, PBE.

```
data_LiSe
_symmetry_space_group_name_H-M 'P 1'
_symmetry_Int_Tables_number 1
_symmetry_space_group_name_Hall 'P 1'
_cell_length_a 10.7168
_cell_length_b 10.7168
_cell_length_c 3.4419
_cell_angle_alpha 90.00
_cell_angle_beta 90.00
_cell_angle_gamma 120.00
loop_
_atom_site_label
_atom_site_fract_x
_atom_site_fract_y
_atom_site_fract_z
_atom_site_occupancy
Li1 0.1446 0.4432 0.2500 1
Li2 0.2986 0.8554 0.2500 1
Li3 0.4432 0.2986 0.7500 1
Li4 0.5568 0.7014 0.2500 1
Li5 0.7014 0.1446 0.7500 1
Li6 0.8554 0.5568 0.7500 1
Se1 0.0547 0.6283 0.2500 1
Se2 0.3717 0.4264 0.2500 1
Se3 0.4264 0.0547 0.7500 1
Se4 0.5736 0.9453 0.2500 1
Se5 0.6283 0.5736 0.7500 1
Se6 0.9453 0.3717 0.7500 1
```

Formation energy from raw total energies (eV per atom): -0.552
Energy above the most stable polymorph in this dataset (meV/atom): 357



Tm4ScCd3: relaxed, PBE.

```
data_Tm4ScCd3
_symmetry_space_group_name_H-M 'P 1'
_symmetry_Int_Tables_number 1
_symmetry_space_group_name_Hall 'P 1'
_cell_length_a 9.2094
_cell_length_b 9.2094
_cell_length_c 9.2094
_cell_angle_alpha 33.06
_cell_angle_beta 33.06
_cell_angle_gamma 33.06
loop_
_atom_site_label
_atom_site_fract_x
_atom_site_fract_y
_atom_site_fract_z
_atom_site_occupancy
Tm1 0.1191 0.1191 0.1191 1
Tm2 0.3728 0.3728 0.3728 1
Tm3 0.6272 0.6272 0.6272 1
Tm4 0.8809 0.8809 0.8809 1
Sc1 0.5000 0.5000 0.5000 1
Cd1 0.0000 0.0000 0.0000 1
Cd2 0.2417 0.2417 0.2417 1
Cd3 0.7583 0.7583 0.7583 1
```

Energy of formation (eV/f.u.): -1.4



Zr2ZnSnH: relaxed, PBE.

```
data_Zr2ZnSnH
_symmetry_space_group_name_H-M 'P 1'
_symmetry_Int_Tables_number 1
_symmetry_space_group_name_Hall 'P 1'
_cell_length_a 4.3691
_cell_length_b 4.3691
_cell_length_c 4.3784
_cell_angle_alpha 90.00
_cell_angle_beta 90.00
_cell_angle_gamma 90.00
loop_
_atom_site_label
_atom_site_fract_x
_atom_site_fract_y
_atom_site_fract_z
_atom_site_occupancy
Zr1 0.0000 0.5000 0.0000 1
Zr2 0.5000 0.0000 0.0000 1
Zn1 0.0000 0.0000 0.5000 1
Sn1 0.5000 0.5000 0.5000 1
H1 0.0000 0.0000 0.0000 1
```



Ac6Ge2RhCl3: relaxed, PBE.

```
data_Ac6Ge2RhCl3
_symmetry_space_group_name_H-M 'P 1'
_symmetry_Int_Tables_number 1
_symmetry_space_group_name_Hall 'P 1'
_cell_length_a 9.9054
_cell_length_b 9.9054
_cell_length_c 9.1171
_cell_angle_alpha 100.54
_cell_angle_beta 100.54
_cell_angle_gamma 26.18
loop_
_atom_site_label
_atom_site_fract_x
_atom_site_fract_y
_atom_site_fract_z
_atom_site_occupancy
Ac1 0.0013 0.0013 0.2717 1
Ac2 0.3299 0.3299 0.9220 1
Ac3 0.3477 0.3477 0.4032 1
Ac4 0.6523 0.6523 0.5968 1
Ac5 0.6701 0.6701 0.0780 1
Ac6 0.9987 0.9987 0.7283 1
Ge1 0.1622 0.1622 0.8400 1
Ge2 0.8378 0.8378 0.1600 1
Rh1 0.5000 0.5000 0.5000 1
Cl1 0.1799 0.1799 0.3491 1
Cl2 0.5000 0.5000 0.0000 1
Cl3 0.8201 0.8201 0.6509 1
```

Formation energy from raw total energies (eV per atom): -1.207



Sr3Ac3ErSe8: relaxed, PBE.

```
data_Sr3Ac3ErSe8
_symmetry_space_group_name_H-M 'P 1'
_symmetry_Int_Tables_number 1
_symmetry_space_group_name_Hall 'P 1'
_cell_length_a 8.8722
_cell_length_b 8.8722
_cell_length_c 8.8722
_cell_angle_alpha 59.59
_cell_angle_beta 59.59
_cell_angle_gamma 59.59
loop_
_atom_site_label
_atom_site_fract_x
_atom_site_fract_y
_atom_site_fract_z
_atom_site_occupancy
Sr1 0.0000 0.5000 0.5000 1
Sr2 0.5000 0.0000 0.5000 1
Sr3 0.5000 0.5000 0.0000 1
Ac1 0.0000 0.0000 0.5000 1
Ac2 0.0000 0.5000 0.0000 1
Ac3 0.5000 0.0000 0.0000 1
Er1 0.5000 0.5000 0.5000 1
Se1 0.2516 0.2516 0.2516 1
Se2 0.2674 0.2674 0.7326 1
Se3 0.2674 0.7326 0.2674 1
Se4 0.2674 0.7326 0.7326 1
Se5 0.7326 0.2674 0.2674 1
Se6 0.7326 0.2674 0.7326 1
Se7 0.7326 0.7326 0.2674 1
Se8 0.7484 0.7484 0.7484 1
```

Formation energy from raw total energies (eV per atom): -1.959



Pu2NbAu: relaxed, PBE.

```
data_Pu2NbAu
_symmetry_space_group_name_H-M 'P 1'
_symmetry_Int_Tables_number 1
_symmetry_space_group_name_Hall 'P 1'
_cell_length_a 3.1118
_cell_length_b 3.1118
_cell_length_c 9.1749
_cell_angle_alpha 90.00
_cell_angle_beta 90.00
_cell_angle_gamma 90.00
loop_
_atom_site_label
_atom_site_fract_x
_atom_site_fract_y
_atom_site_fract_z
_atom_site_occupancy
Pu1 0.0000 0.0000 0.2465 1
Pu2 0.0000 0.0000 0.7535 1
Nb1 0.5000 0.5000 0.0000 1
Au1 0.5000 0.5000 0.5000 1
```

Energy of formation (eV/f.u.): 0.0



Cs2YPb: relaxed, PBE.

```
data_Cs2YPb
_symmetry_space_group_name_H-M 'P 1'
_symmetry_Int_Tables_number 1
_symmetry_space_group_name_Hall 'P 1'
_cell_length_a 6.4423
_cell_length_b 6.4423
_cell_length_c 6.4423
_cell_angle_alpha 60.00
_cell_angle_beta 60.00
_cell_angle_gamma 60.00
loop_
_atom_site_label
_atom_site_fract_x
_atom_site_fract_y
_atom_site_fract_z
_atom_site_occupancy
Cs1 0.2500 0.2500 0.2500 1
Cs2 0.7500 0.7500 0.7500 1
Y1 0.0000 0.0000 0.0000 1
Pb1 0.5000 0.5000 0.5000 1
```

Energy of formation (eV/f.u.): 2.3
Energy above the most stable polymorph in this dataset (meV/atom): 292



Nd12Dy6Cd: relaxed, PBE.

```
data_Nd12Dy6Cd
_symmetry_space_group_name_H-M 'P 1'
_symmetry_Int_Tables_number 1
_symmetry_space_group_name_Hall 'P 1'
_cell_length_a 8.7569
_cell_length_b 8.7569
_cell_length_c 8.7569
_cell_angle_alpha 97.62
_cell_angle_beta 97.62
_cell_angle_gamma 97.62
loop_
_atom_site_label
_atom_site_fract_x
_atom_site_fract_y
_atom_site_fract_z
_atom_site_occupancy
Nd1 0.0011 0.7405 0.2594 1
Nd2 0.1704 0.5804 0.5810 1
Nd3 0.2594 0.0011 0.7405 1
Nd4 0.2595 0.7406 0.9989 1
Nd5 0.4190 0.8296 0.4196 1
Nd6 0.4196 0.4190 0.8296 1
Nd7 0.5804 0.5810 0.1704 1
Nd8 0.5810 0.1704 0.5804 1
Nd9 0.7405 0.2594 0.0011 1
Nd10 0.7406 0.9989 0.2595 1
Nd11 0.8296 0.4196 0.4190 1
Nd12 0.9989 0.2595 0.7406 1
Dy1 0.1359 0.1373 0.4061 1
Dy2 0.1373 0.4061 0.1359 1
Dy3 0.4061 0.1359 0.1373 1
Dy4 0.5939 0.8641 0.8627 1
Dy5 0.8627 0.5939 0.8641 1
Dy6 0.8641 0.8627 0.5939 1
Cd1 0.0000 0.0000 0.0000 1
```

Energy of formation (eV/f.u.): 2.1
Energy above the most stable polymorph in this dataset (meV/atom): 18



E for every record listed, in sequence, given in eV per cell: -39.02; -28.39; -27.39; -61.26; -79.19; -42.05; -9.58; -83.62.